(1)
Al2SbMoN: optimized geometry, PBE-GGA.

Geometry as extended XYZ:
```
5
Lattice="-1.497 -3.293 3.374 0.385 -3.718 -3.457 4.699 -0.761 1.342" Properties=species:S:1:pos:R:3 pbc="T T T"
Sb 0.193 -1.859 -1.729
Mo 0.000 0.000 0.000
Al 2.350 -0.381 0.671
Al -0.748 -1.646 1.687
N 1.794 -3.886 0.629
```

Calculated values
**Formation energy without anion corrections**: 30.09 kcal/mol of atoms
**Energy above the most stable polymorph in this dataset**: 0.000 eV per atom
**N(E_F)**: 0.348 states/eV per atom
**Crystal system**: tetragonal
**Magnetization**: 3.04 μB per formula unit

=====

(2)
Tb5Pm2Sb5: optimized geometry, PBE-GGA.

Geometry as extended XYZ:
```
12
Lattice="-3.554 0.422 -2.490 -0.898 -6.136 4.059 -4.016 9.686 7.378" Properties=species:S:1:pos:R:3 pbc="T T T"
Tb -3.785 5.054 2.444
Tb -2.788 -1.262 -0.052
Tb -4.369 0.873 2.568
Tb -4.100 3.099 6.380
Tb -5.681 5.234 9.000
Pm -3.324 7.122 5.955
Pm -5.145 -3.150 2.993
Sb -2.419 2.773 3.924
Sb -6.068 5.603 5.796
Sb -2.401 -1.631 3.152
Sb -6.051 1.200 5.024
Sb 0.000 0.000 0.000
```

Calculated values
**Formation energy without anion corrections**: -19.93 kcal/mol of atoms
**N(E_F)**: 0.814 states/eV per atom
**Crystal system**: monoclinic
**Magnetization**: 0.00 μB per formula unit